(1)
Here is an optimized crystal structure of Pb3SeN from Alexandria via LeMat-Bulk. Energies are from PBE.

Computed properties:
Density of states at the Fermi level ... 3.3 states/eV per cell
Space-group type ... Pm-3m, No. 221
Total energy ... -21.17 eV per cell

Cell lengths 5.085, 5.085, 5.085 Å; angles 90.00, 90.00, 90.00 degrees
Fractional coordinates of all 5 atoms:
N 0.000 0.000 0.000
Pb 0.000 0.500 0.000
Pb 0.500 0.000 0.000
Se 0.500 0.500 0.500
Pb 0.000 0.000 0.500

***

(2)
Here is an optimized crystal structure of Pb2SeN2 from Alexandria via LeMat-Bulk. Energies are from PBE.

Computed properties:
Density of states at the Fermi level ... 2.6 states/eV per cell
Space-group type ... C2/m, No. 12
Total energy ... -27.71 eV per cell

Cell lengths 3.791, 3.789, 12.720 Å; angles 76.45, 81.43, 59.98 degrees
Fractional coordinates of all 5 atoms:
N 0.454 0.629 0.464
Se 0.000 0.000 0.000
Pb 0.310 0.214 0.166
N 0.546 0.371 0.536
Pb 0.690 0.786 0.834

***

(3)
Here is an optimized crystal structure of PbSeN3 from Alexandria via LeMat-Bulk. Energies are from PBE.

Computed properties:
Density of states at the Fermi level ... 6.8 states/eV per cell
Space-group type ... Pm-3m, No. 221
Total energy ... -19.28 eV per cell

Cell lengths 4.264, 4.264, 4.264 Å; angles 90.00, 90.00, 90.00 degrees
Fractional coordinates of all 5 atoms:
N 0.000 0.000 0.500
Pb 0.000 0.000 0.000
N 0.000 0.500 0.000
Se 0.500 0.500 0.500
N 0.500 0.000 0.000

***

(4)
Here is an optimized crystal structure of Sm8Pb4Se3N from Alexandria via LeMat-Bulk. Energies are from PBE.

Computed properties:
Density of states at the Fermi level ... 8.4 states/eV per cell
Space-group type ... C2/m, No. 12
Total energy ... -88.20 eV per cell

Cell lengths 8.061, 9.172, 8.058 Å; angles 116.11, 120.01, 90.00 degrees
Fractional coordinates of all 16 atoms:
Sm 0.785 0.308 0.021
Pb 0.000 0.000 0.500
Pb 0.500 0.000 0.000
Sm 0.785 0.307 0.570
Pb 0.000 0.000 0.000
Sm 0.215 0.692 0.979
Sm 0.236 0.308 0.021
Pb 0.500 0.000 0.500
Sm 0.764 0.692 0.979
Se 0.500 0.500 0.500
Se 0.500 0.500 0.000
Sm 0.215 0.693 0.430
N 0.000 0.500 0.000
Se 0.000 0.500 0.500
Sm 0.739 0.716 0.478
Sm 0.261 0.284 0.522